Entry 1:
The following is a DFT calculation (PBE) of Na3Er3IrO8 after structural relaxation.

Values from the calculation:
Total moment = 1.1 μB/cell
Space group = R-3m (166)
Uncorrected formation energy = -55.14 kcal/mol of atoms

a b c (Å): 6.627 6.627 6.747
angles (deg): 119.41 89.99 120.00
Sites, in units of the cell vectors:
Na 0.000 0.000 0.000
Na 0.000 0.500 0.000
Na 0.500 0.500 0.000
Er 0.500 0.000 0.500
Er 0.500 0.500 0.500
Er 0.000 0.500 0.500
Ir 0.000 0.000 0.500
O 0.264 0.528 0.292
O 0.736 0.472 0.708
O 0.779 0.558 0.300
O 0.221 0.442 0.700
O 0.779 0.021 0.300
O 0.221 0.979 0.700
O 0.242 0.021 0.300
O 0.758 0.979 0.700

=====

Entry 2:
The following is a DFT calculation (PBE) of TlRhW2 after structural relaxation.

Values from the calculation:
Total moment = 0.0 μB/cell
Space group = Cmm2 (35)
Energy of formation from the pure elements = 1.53 eV/f.u.
Energy above the most stable polymorph in this dataset = 26 meV/atom

a b c (Å): 2.869 2.869 8.498
angles (deg): 90.00 90.00 97.22
Sites, in units of the cell vectors:
Tl 0.500 0.500 0.262
Rh 0.000 0.000 0.525
W 0.000 0.000 0.978
W 0.500 0.500 0.735

=====

Entry 3:
The following is a DFT calculation (PBE) of Sm2CoSn after structural relaxation.

Values from the calculation:
Total moment = 0.0 μB/cell
Space group = R-3m (166)
Energy of formation from the pure elements = 0.14 eV/f.u.
Energy above the most stable polymorph in this dataset = 370 meV/atom

a b c (Å): 3.763 3.763 9.884
angles (deg): 79.03 79.03 60.00
Sites, in units of the cell vectors:
Co 0.500 0.500 0.500
Sn 0.000 0.000 0.000
Sm 0.112 0.112 0.664
Sm 0.888 0.888 0.336

=====

Entry 4:
The following is a DFT calculation (PBE) of NpBr4Cl after structural relaxation.

Values from the calculation:
Total moment = 4.0 μB/cell
Space group = P2_1/c (14)
Uncorrected formation energy = -25.94 kcal/mol of atoms

a b c (Å): 7.437 7.437 15.182
angles (deg): 90.00 90.00 138.00
Sites, in units of the cell vectors:
Np 0.000 0.000 0.000
Np 0.000 0.500 0.500
Br 0.136 0.364 0.621
Br 0.864 0.136 0.121
Br 0.134 0.370 0.375
Br 0.866 0.130 0.875
Br 0.864 0.636 0.379
Br 0.136 0.864 0.879
Br 0.866 0.630 0.625
Br 0.134 0.870 0.125
Cl 0.500 0.500 0.000
Cl 0.500 0.000 0.500

=====

Entry 5:
The following is a DFT calculation (PBE) of Ba4TmPu3O12 after structural relaxation.

Values from the calculation:
Total moment = 11.0 μB/cell
Space group = Im-3m (229)
Uncorrected formation energy = -69.84 kcal/mol of atoms

a b c (Å): 7.589 7.589 7.589
angles (deg): 109.47 109.47 109.47
Sites, in units of the cell vectors:
Ba 0.500 0.500 0.500
Ba 0.000 0.000 0.500
Ba 0.500 0.000 0.000
Ba 0.000 0.500 0.000
Tm 0.000 0.000 0.000
Pu 0.500 0.000 0.500
Pu 0.500 0.500 0.000
Pu 0.000 0.500 0.500
O 0.250 0.500 0.750
O 0.746 0.000 0.746
O 0.254 0.000 0.254
O 0.750 0.500 0.250
O 0.746 0.746 0.000
O 0.254 0.254 0.000
O 0.750 0.250 0.500
O 0.250 0.750 0.500
O 0.500 0.250 0.750
O 0.000 0.746 0.746
O 0.500 0.750 0.250
O 0.000 0.254 0.254

=====

Entry 6:
The following is a DFT calculation (PBE) of MgTiSn3 after structural relaxation.

Values from the calculation:
Total moment = 0.0 μB/cell
Space group = Pm-3m (221)
Energy of formation from the pure elements = 1.02 eV/f.u.
Energy above the most stable polymorph in this dataset = 0 meV/atom

a b c (Å): 5.311 5.311 5.311
angles (deg): 90.00 90.00 90.00
Sites, in units of the cell vectors:
Mg 0.500 0.500 0.500
Sn 0.000 0.500 0.000
Sn 0.000 0.000 0.500
Sn 0.500 0.000 0.000
Ti 0.000 0.000 0.000

=====

Entry 7:
The following is a DFT calculation (PBE) of TlInAg2 after structural relaxation.

Values from the calculation:
Total moment = 0.0 μB/cell
Space group = C2/m (12)
Energy of formation from the pure elements = 0.41 eV/f.u.

a b c (Å): 5.283 5.283 3.351
angles (deg): 89.53 89.53 107.90
Sites, in units of the cell vectors:
Tl 0.000 0.500 0.500
Ag 0.000 0.000 0.000
Ag 0.500 0.500 0.000
In 0.500 0.000 0.500

=====

Entry 8:
The following is a DFT calculation (PBE) of VRe3As after structural relaxation.

Values from the calculation:
Total moment = 0.3 μB/cell
Space group = Pm-3m (221)
Energy of formation from the pure elements = 7.93 eV/f.u.
Energy above the most stable polymorph in this dataset = 0 meV/atom

a b c (Å): 4.499 4.499 4.499
angles (deg): 90.00 90.00 90.00
Sites, in units of the cell vectors:
Re 0.000 0.500 0.000
Re 0.000 0.000 0.500
Re 0.500 0.000 0.000
As 0.000 0.000 0.000
V 0.500 0.500 0.500